1.
# RbV2Cl

An optimized crystal structure of RbV2Cl (PBE, Alexandria).

Unit cell a=4.6570 b=4.6570 c=9.7728 alpha=76.22 beta=76.22 gamma=90.00
With the nearest neighbours (Å) after each atom.
Fractional positions:
1 V 0.3750 0.1250 0.2500  2 V 2.33, 2 Cl 2.58
2 V 0.3750 0.6250 0.2500  2 V 2.33, 2 Cl 2.58
3 V 0.3750 0.6250 0.7500  2 V 2.33, 2 Cl 2.58
4 V 0.8750 0.6250 0.7500  2 V 2.33, 2 Cl 2.58
5 Rb 0.0000 0.0000 0.0000  4 Cl 3.29, 8 V 3.47
6 Rb 0.7500 0.2500 0.5000  4 Cl 3.29, 8 V 3.47
7 Cl 0.5000 0.5000 0.0000  4 V 2.58
8 Cl 0.2500 0.7500 0.5000  4 V 2.58

Results
Electronic total energy   -35.6 eV for the cell shown
Energy relative to the lowest polymorph listed for this composition   0 meV per atom
Total magnetic moment   5.75 Bohr magnetons per cell
Formation energy without anion corrections   0.82 eV/atom
Symmetry   No. 141

2.
# RbV2Cl

An optimized crystal structure of RbV2Cl (PBE, Alexandria).

Unit cell a=5.3799 b=5.3799 c=5.3799 alpha=60.00 beta=60.00 gamma=60.00
With the nearest neighbours (Å) after each atom.
Fractional positions:
1 V 0.2500 0.2500 0.2500  4 Cl 3.29, 4 Rb 3.29
2 V 0.7500 0.7500 0.7500  4 Cl 3.29, 4 Rb 3.29
3 Rb 0.5000 0.5000 0.5000  8 V 3.29
4 Cl 0.0000 0.0000 0.0000  8 V 3.29

Results
Electronic total energy   -15.6 eV for the cell shown
Energy relative to the lowest polymorph listed for this composition   542 meV per atom
Total magnetic moment   9.45 Bohr magnetons per cell
Formation energy without anion corrections   1.36 eV/atom
Symmetry   No. 225

3.
# RbV2Cl8

An optimized crystal structure of RbV2Cl8 (PBE, Alexandria).

Unit cell a=8.4373 b=7.6231 c=7.6231 alpha=57.23 beta=73.16 gamma=73.16
With the nearest neighbours (Å) after each atom.
Fractional positions:
1 Rb 0.0000 0.0000 0.0000  6 Cl 3.50-3.51
2 V 0.6913 0.7960 0.7960  4 Cl 2.19
3 V 0.3087 0.2040 0.2040  4 Cl 2.19
4 Cl 0.2292 0.3723 0.8951  1 V 2.19
5 Cl 0.7708 0.1049 0.6277  1 V 2.19
6 Cl 0.4187 0.8322 0.8322  1 V 2.19
7 Cl 0.5813 0.1678 0.1678  1 V 2.19
8 Cl 0.2292 0.8951 0.3723  1 V 2.19
9 Cl 0.7708 0.6277 0.1049  1 V 2.19
10 Cl 0.8184 0.6247 0.6247  1 V 2.19
11 Cl 0.1816 0.3753 0.3753  1 V 2.19

Results
Electronic total energy   -48.5 eV for the cell shown
Total magnetic moment   3.00 Bohr magnetons per cell
Formation energy without anion corrections   -1.32 eV/atom
Symmetry   No. 12

4.
# Rb4VCl5

An optimized crystal structure of Rb4VCl5 (PBE, Alexandria).

Unit cell a=7.1040 b=7.7562 c=7.7562 alpha=77.89 beta=62.74 gamma=62.74
With the nearest neighbours (Å) after each atom.
Fractional positions:
1 Rb 0.4468 0.3756 0.7997  5 Cl 3.16-3.48
2 Rb 0.8223 0.7997 0.6244  5 Cl 3.16-3.48
3 Rb 0.2465 0.2003 0.3756  5 Cl 3.16-3.48
4 Rb 0.6220 0.6244 0.2003  5 Cl 3.16-3.48
5 V 0.9992 0.0000 0.0000  5 Cl 2.62-2.63
6 Cl 0.9203 0.3375 0.8240  1 V 2.62
7 Cl 0.2578 0.8240 0.6625  1 V 2.62
8 Cl 0.7443 0.1760 0.3375  1 V 2.62
9 Cl 0.0818 0.6625 0.1760  1 V 2.62
10 Cl 0.3692 0.0000 0.0000  1 V 2.63

Results
Electronic total energy   -37.1 eV for the cell shown
Total magnetic moment   3.98 Bohr magnetons per cell
Formation energy without anion corrections   -1.48 eV/atom
Symmetry   No. 79

5.
# RbVCl3

An optimized crystal structure of RbVCl3 (PBE, Alexandria).

Unit cell a=5.8350 b=5.8350 c=5.8350 alpha=90.00 beta=90.00 gamma=90.00
With the nearest neighbours (Å) after each atom.
Fractional positions:
1 V 0.5000 0.5000 0.5000  12 Cl 4.13
2 Rb 0.0000 0.0000 0.0000  6 Cl 2.92
3 Cl 0.0000 0.5000 0.0000  2 Rb 2.92
4 Cl 0.0000 0.0000 0.5000  2 Rb 2.92
5 Cl 0.5000 0.0000 0.0000  2 Rb 2.92

Results
Electronic total energy   -15.3 eV for the cell shown
Total magnetic moment   2.97 Bohr magnetons per cell
Formation energy without anion corrections   0.06 eV/atom
Symmetry   No. 221

6.
# RbVCl2

An optimized crystal structure of RbVCl2 (PBE, Alexandria).

Unit cell a=8.3579 b=8.3579 c=8.3579 alpha=35.36 beta=35.36 gamma=35.36
With the nearest neighbours (Å) after each atom.
Fractional positions:
1 V 0.0000 0.0000 0.0000  2 Cl 2.33
2 Rb 0.5000 0.5000 0.5000  6 Cl 3.33
3 Cl 0.9006 0.9006 0.9006  1 V 2.33
4 Cl 0.0994 0.0994 0.0994  1 V 2.33

Results
Electronic total energy   -16.8 eV for the cell shown
Energy relative to the lowest polymorph listed for this composition   53 meV per atom
Total magnetic moment   3.98 Bohr magnetons per cell
Formation energy without anion corrections   -0.77 eV/atom
Symmetry   No. 166

7.
# Rb5VCl8

An optimized crystal structure of Rb5VCl8 (PBE, Alexandria).

Unit cell a=9.0914 b=9.0914 c=9.0914 alpha=97.92 beta=115.54 gamma=115.54
With the nearest neighbours (Å) after each atom.
Fractional positions:
1 Rb 0.5879 0.5919 0.7678  5 Cl 3.18-3.43
2 Rb 0.1758 0.9960 0.4081  5 Cl 3.18-3.43
3 Rb 0.4121 0.1798 0.0040  5 Cl 3.18-3.43
4 Rb 0.0000 0.5000 0.5000  4 Cl 3.24
5 Rb 0.8242 0.2322 0.8202  5 Cl 3.18-3.43
6 V 0.5000 0.7500 0.2500  4 Cl 2.24
7 Cl 0.3062 0.4556 0.1589  1 V 2.24
8 Cl 0.7033 0.8506 0.5444  1 V 2.24
9 Cl 0.8227 0.4955 0.1036  4 Rb 3.18-3.37
10 Cl 0.6081 0.3272 0.5045  4 Rb 3.18-3.37
11 Cl 0.3919 0.8964 0.7190  4 Rb 3.18-3.37
12 Cl 0.2967 0.8411 0.1473  1 V 2.24
13 Cl 0.6938 0.8527 0.1494  1 V 2.24
14 Cl 0.1773 0.2810 0.6728  4 Rb 3.18-3.37

Results
Electronic total energy   -52.1 eV for the cell shown
Total magnetic moment   2.00 Bohr magnetons per cell
Formation energy without anion corrections   -1.67 eV/atom
Symmetry   No. 82

8.
# RbVCl3

An optimized crystal structure of RbVCl3 (PBE, Alexandria).

Unit cell a=5.0221 b=5.0221 c=5.0221 alpha=90.00 beta=90.00 gamma=90.00
With the nearest neighbours (Å) after each atom.
Fractional positions:
1 Cl 0.0000 0.5000 0.0000  2 V 2.51
2 Cl 0.0000 0.0000 0.5000  2 V 2.51
3 Cl 0.5000 0.0000 0.0000  2 V 2.51
4 Rb 0.5000 0.5000 0.5000  12 Cl 3.55
5 V 0.0000 0.0000 0.0000  6 Cl 2.51

Results
Electronic total energy   -22.8 eV for the cell shown
Total magnetic moment   3.00 Bohr magnetons per cell
Formation energy without anion corrections   -1.43 eV/atom
Symmetry   No. 221

9.
# Rb2V3Cl10

An optimized crystal structure of Rb2V3Cl10 (PBE, Alexandria).

Unit cell a=7.2455 b=9.7038 c=12.1088 alpha=110.76 beta=107.41 gamma=90.00
With the nearest neighbours (Å) after each atom.
Fractional positions:
1 Rb 0.7277 0.3123 0.4554  12 Cl 3.45-3.77
2 Rb 0.2723 0.6877 0.5446  12 Cl 3.45-3.77
3 Rb 0.6231 0.7326 0.2463  12 Cl 3.40-3.71
4 Rb 0.3769 0.2674 0.7537  12 Cl 3.40-3.71
5 V 0.9233 0.5271 0.8466  5 Cl 2.29-2.47
6 V 0.0767 0.4729 0.1534  5 Cl 2.29-2.47
7 V 0.8241 0.9800 0.6483  6 Cl 2.30-2.55
8 V 0.1759 0.0200 0.3517  6 Cl 2.30-2.55
9 V 0.7483 0.0000 0.0000  6 Cl 2.41-2.48
10 V 0.2517 0.0000 0.0000  6 Cl 2.41-2.48
11 Cl 0.6415 0.9718 0.7823  2 V 2.40-2.43
12 Cl 0.1408 0.9718 0.7823  2 V 2.40-2.43
13 Cl 0.3585 0.0282 0.2177  2 V 2.40-2.43
14 Cl 0.8592 0.0282 0.2177  2 V 2.40-2.43
15 Cl 0.6223 0.5433 0.7227  1 V 2.29
16 Cl 0.1004 0.5433 0.7227  1 V 2.29
17 Cl 0.3777 0.4567 0.2773  1 V 2.29
18 Cl 0.8996 0.4567 0.2773  1 V 2.29
19 Cl 0.9798 0.8144 0.9596  3 V 2.48-2.60
20 Cl 0.0202 0.1856 0.0404  3 V 2.48-2.60
21 Cl 0.8679 0.2547 0.7358  2 V 2.47
22 Cl 0.1321 0.7453 0.2642  2 V 2.47
23 Cl 0.7708 0.7270 0.5416  1 V 2.30
24 Cl 0.2292 0.2730 0.4584  1 V 2.30
25 Cl 0.4807 0.8231 0.9615  2 V 2.41
26 Cl 0.5193 0.1769 0.0385  2 V 2.41
27 Cl 0.7819 0.5000 0.0000  2 V 2.46
28 Cl 0.2181 0.5000 0.0000  2 V 2.46
29 Cl 0.5000 0.0000 0.5000  2 V 2.55
30 Cl 0.0000 0.0000 0.5000  2 V 2.55

Results
Electronic total energy   -137.7 eV for the cell shown
Total magnetic moment   14.00 Bohr magnetons per cell
Formation energy without anion corrections   -1.41 eV/atom
Symmetry   No. 12